# 1
A plane-wave DFT calculation with PBE was carried out for a relaxed structure of Ca2PmPr.

## Properties
Crystal system   tetragonal
E   -3.2690 eV per atom
Total magnetic moment   0.000 μB per cell

Structure (POSCAR):
```
Ca2PmPr
1.0
5.6492 0.0000 0.0000
0.0000 5.1480 0.0000
0.0000 0.0000 5.1480
Pr Ca Pm
1 2 1
direct
0.5000 0.0000 0.0000
0.0000 0.0000 0.5000
0.0000 0.5000 0.0000
0.5000 0.5000 0.5000
```

---

# 2
A plane-wave DFT calculation with PBE was carried out for a relaxed structure of AcTmLuIn.

## Properties
Crystal system   cubic
E   -3.9429 eV per atom
Total magnetic moment   1.359 μB per cell

Structure (POSCAR):
```
AcTmLuIn
1.0
5.5600 0.0000 0.0000
2.7800 4.8151 0.0000
2.7800 1.6050 4.5397
Ac Lu Tm In
1 1 1 1
direct
0.7500 0.7500 0.7500
0.0000 0.0000 0.0000
0.5000 0.5000 0.5000
0.2500 0.2500 0.2500
```

---

Number 1: ΔE_f 0.11 eV per atom. Number 2: ΔE_f 0.02 eV per atom.